No. 1
DFT (PBE) results for a relaxed structure of HfTeIr2.

Unit cell a=7.4530 b=7.4530 c=7.4530 alpha=134.64 beta=134.64 gamma=66.09
Sites, in units of the cell vectors:
Hf  0.0000  0.0000  0.0000
Hf  0.7500  0.2500  0.5000
Te  0.2500  0.7500  0.5000
Te  0.5000  0.5000  0.0000
Ir  0.1326  0.6250  0.0076
Ir  0.3750  0.3826  0.5076
Ir  0.6174  0.1250  0.9924
Ir  0.8750  0.8674  0.4924

- DFT total energy: -7.596 eV per atom
- Calculated volume: 206.38 Å³ per cell

No. 2
DFT (PBE) results for a relaxed structure of Ca2Zr.

Unit cell a=6.7388 b=6.7388 c=9.1358 alpha=109.34 beta=109.34 gamma=30.61
Sites, in units of the cell vectors:
Ca  0.0000  0.0000  0.0000
Ca  0.0036  0.0036  0.5771
Ca  0.2902  0.2902  0.7127
Ca  0.6839  0.6839  0.3322
Zr  0.3780  0.3780  0.2135
Zr  0.7175  0.7175  0.9762

- Calculated volume: 198.40 Å³ per cell
- E above lowest polymorph: 48 meV per atom
- Energy of formation: 0.290 eV per atom

Number 1: N(E_F) 3.484 states/eV per cell. Number 2: N(E_F) 7.386 states/eV per cell.